# 1
Sr2ScCoAsO3: optimized geometry, GGA+U.

Cell and atoms, written as extended XYZ:
```
16
Lattice="4.0726 0.0000 0.0000 0.0000 4.0726 0.0000 0.0000 0.0000 15.3087" Properties=species:S:1:pos:R:3 pbc="T T T"
Sr 1.0181 1.0181 1.3485
Sr 1.0181 1.0181 4.9081
Sr 3.0544 3.0544 10.4006
Sr 3.0544 3.0544 13.9602
Sc 1.0181 1.0181 12.2870
Sc 3.0544 3.0544 3.0217
Co 1.0181 3.0544 7.6543
Co 3.0544 1.0181 7.6543
As 1.0181 1.0181 8.7672
As 3.0544 3.0544 6.5414
O 1.0181 1.0181 14.2729
O 1.0181 3.0544 3.3542
O 1.0181 3.0544 11.9544
O 3.0544 1.0181 3.3542
O 3.0544 1.0181 11.9544
O 3.0544 3.0544 1.0358
```

SG: No. 129
Total magnetic moment, μB per formula unit: 0.66
Total energy, eV/atom: -6.538

=====

# 2
CoSiAsO: optimized geometry, GGA+U.

Cell and atoms, written as extended XYZ:
```
8
Lattice="3.7023 0.0000 0.0000 0.0000 8.1589 0.0000 0.0000 0.0000 4.5904" Properties=species:S:1:pos:R:3 pbc="T T T"
Co 0.0000 0.7585 0.0000
Co 0.0000 7.4004 2.2952
Si 1.8512 3.0931 2.7566
Si 1.8512 5.0658 0.4614
As 0.0000 1.7266 2.3000
As 0.0000 6.4323 0.0049
O 1.8512 3.5694 4.3332
O 1.8512 4.5895 2.0380
```

Energy above the most stable polymorph in this dataset, meV per atom: 0
SG: No. 26
Total magnetic moment, μB per formula unit: 2.12
Total energy, eV/atom: -5.718

=====

# 3
CoSiAsO: optimized geometry, GGA+U.

Cell and atoms, written as extended XYZ:
```
8
Lattice="3.4508 0.0000 0.0000 0.0000 3.4508 0.0000 0.0000 0.0000 9.4702" Properties=species:S:1:pos:R:3 pbc="T T T"
Co 0.8627 2.5881 0.0000
Co 2.5881 0.8627 0.0000
Si 0.8627 0.8627 3.7497
Si 2.5881 2.5881 5.7205
As 0.8627 0.8627 7.9794
As 2.5881 2.5881 1.4908
O 0.8627 2.5881 4.7351
O 2.5881 0.8627 4.7351
```

Energy above the most stable polymorph in this dataset, meV per atom: 351
SG: No. 129
Total magnetic moment, μB per formula unit: 0.00
Total energy, eV/atom: -5.367

=====

# 4
CoSiAsO: optimized geometry, GGA+U.

Cell and atoms, written as extended XYZ:
```
8
Lattice="4.0885 0.0000 0.0000 0.0000 4.0885 0.0000 0.0000 0.0000 8.7811" Properties=species:S:1:pos:R:3 pbc="T T T"
Co 1.0221 1.0221 0.0148
Co 3.0664 3.0664 8.7663
Si 1.0221 3.0664 4.3905
Si 3.0664 1.0221 4.3905
As 1.0221 1.0221 5.7813
As 3.0664 3.0664 2.9998
O 1.0221 3.0664 0.0000
O 3.0664 1.0221 0.0000
```

Energy above the most stable polymorph in this dataset, meV per atom: 498
SG: No. 129
Total magnetic moment, μB per formula unit: 2.98
Total energy, eV/atom: -5.221

=====

# 5
CoSiAsO: optimized geometry, GGA+U.

Cell and atoms, written as extended XYZ:
```
8
Lattice="2.9123 0.0000 0.0000 0.0000 6.0736 0.0000 0.0000 0.0000 6.4388" Properties=species:S:1:pos:R:3 pbc="T T T"
Co 0.0000 0.5703 0.0000
Co 0.0000 5.5033 3.2194
Si 1.4562 1.5234 2.9087
Si 1.4562 4.5501 6.1281
As 1.4562 2.1176 5.3060
As 1.4562 3.9559 2.0866
O 0.0000 1.2817 1.9642
O 0.0000 4.7919 5.1836
```

Energy above the most stable polymorph in this dataset, meV per atom: 241
SG: No. 26
Total magnetic moment, μB per formula unit: 1.92
Total energy, eV/atom: -5.478

=====

# 6
SrCoAs2O7: optimized geometry, GGA+U.

Cell and atoms, written as extended XYZ:
```
44
Lattice="5.5186 0.0000 0.0000 0.0000 8.3324 0.0000 -5.3132 0.0000 13.0069" Properties=species:S:1:pos:R:3 pbc="T T T"
Sr -1.1144 1.4129 2.8337
Sr -3.7710 2.7533 9.3371
Sr 3.9765 5.5790 3.6698
Sr 1.3199 6.9195 10.1732
Co -1.7165 5.3310 7.9190
Co 0.9401 7.1676 1.4156
Co -0.7346 1.1648 11.5913
Co 1.9220 3.0014 5.0879
As 1.8182 1.6307 0.1582
As -0.8384 2.5355 6.6617
As -1.2283 0.1855 8.5907
As 1.4283 3.9807 2.0873
As -1.2228 4.3517 10.9195
As 1.4338 8.1469 4.4161
As 1.0439 5.7968 6.3452
As -1.6127 6.7017 12.8486
O -4.2315 1.3956 11.6516
O -1.5749 2.7706 5.1482
O -2.8135 0.3770 9.1159
O -0.1569 3.7892 2.6125
O 0.9502 0.8486 1.4168
O -1.7063 3.3176 7.9202
O -1.1256 0.7923 6.9137
O 1.5310 3.3739 0.4102
O -2.3748 5.1752 9.9745
O 0.2818 7.3234 3.4711
O -0.6204 5.4517 6.1616
O -3.2770 7.0469 12.6650
O 0.8821 1.4185 4.5119
O -1.7745 2.7477 11.0153
O 1.9800 5.5846 1.9915
O -0.6766 6.9139 8.4950
O 3.4825 1.2855 0.3418
O 0.8259 2.8807 6.8453
O -0.0763 1.0090 9.5357
O 2.5803 3.1572 3.0323
O -1.3255 4.9585 12.5966
O 1.3311 7.5400 6.0932
O 1.9118 5.0147 5.0867
O -0.7448 7.4838 11.5901
O 0.3624 4.5431 10.3944
O 3.0190 7.9554 3.8909
O 1.7804 5.5618 7.8587
O 4.4370 6.9367 1.3553
```

SG: No. 14
Total magnetic moment, μB per formula unit: 3.00
Total energy, eV/atom: -6.251

=====

- Which value of total energy does entry 5 give?
  -5.478 eV/atom

=====

- Look up the total magnetic moment of the first one.
  0.66 μB per formula unit

=====

- total energy of number 6 (SrCoAs2O7)?
  -6.251 eV/atom

=====

- Look up the total energy of the third one.
  -5.367 eV/atom